A relaxed La2NdIr crystal, computed with PBE-GGA.

Cell lengths 9.726, 9.726, 9.726 Å; angles 24.35, 24.35, 24.35 degrees
Atoms (fractional coordinates):
La  0.000  0.000  0.000
La  0.220  0.220  0.220
Nd  0.444  0.444  0.444
Ir  0.609  0.609  0.609

N(E_F)	1.30	states/eV/atom
ΔE_f	-1.4	eV/f.u.
crystal system	trigonal
E_tot	-6.219	eV/atom

=====

A relaxed MgZrRe3 crystal, computed with PBE-GGA.

Cell lengths 4.834, 4.834, 4.834 Å; angles 90.00, 90.00, 90.00 degrees
Atoms (fractional coordinates):
Mg  0.000  0.000  0.000
Zr  0.500  0.500  0.500
Re  0.000  0.500  0.500
Re  0.500  0.000  0.500
Re  0.500  0.500  0.000

N(E_F)	0.96	states/eV/atom
ΔE_f	11.6	eV/f.u.
crystal system	cubic
E_tot	-7.186	eV/atom